A geometry-optimized Rb4FeO4 structure, computed with PBE with a Hubbard U.

abc: 6.582 6.751 9.833
angles: 72.94 80.50 73.14
Fractional coordinates of all 18 atoms:
Rb 0.292 0.817 0.016
Rb 0.708 0.183 0.984
Rb 0.252 0.580 0.407
Rb 0.748 0.420 0.593
Rb 0.217 0.429 0.847
Rb 0.783 0.571 0.153
Rb 0.238 0.959 0.630
Rb 0.762 0.041 0.370
Fe 0.252 0.183 0.241
Fe 0.748 0.817 0.759
O 0.072 0.176 0.118
O 0.928 0.824 0.882
O 0.056 0.285 0.378
O 0.944 0.715 0.622
O 0.427 0.366 0.199
O 0.573 0.634 0.801
O 0.555 0.082 0.734
O 0.445 0.918 0.266

ρ (Mg/m³): 3.850
Energy above the lowest structure with this stoichiometry (eV per atom): 0.000
Total magnetic moment (μB per formula unit): 4.0
Symmetry: No. 2
Total energy (eV per atom): -4.55